[1]
Below is crystalline CdI3N at its relaxed geometry, with properties calculated at the GGA-PBEsol level.

Cell and atoms, written as POSCAR:
```
CdI3N
1.0
5.790 0.000 0.000
0.000 5.790 0.000
0.000 0.000 5.790
Cd I N
1 3 1
Direct
0.000 0.000 0.000 Cd
0.000 0.000 0.500 I
0.000 0.500 0.000 I
0.500 0.000 0.000 I
0.500 0.500 0.500 N
```

Results
Formation energy without anion corrections ... 0.98 eV/atom

***

[2]
Below is crystalline TlCoAg2 at its relaxed geometry, with properties calculated at the GGA-PBEsol level.

Cell and atoms, written as POSCAR:
```
TlCoAg2
1.0
2.916 0.000 0.000
0.000 4.033 0.000
0.000 0.000 5.738
Tl Co Ag
1 1 2
Direct
0.000 0.000 0.000 Tl
0.000 0.000 0.500 Co
0.500 0.500 0.272 Ag
0.500 0.500 0.728 Ag
```

Results
VASP energy ... -3.81 eV per atom

***

[3]
Below is crystalline CdNiAg2W at its relaxed geometry, with properties calculated at the GGA-PBEsol level.

Cell and atoms, written as POSCAR:
```
CdNiAg2W
1.0
4.850 0.000 0.000
0.000 4.850 0.000
0.000 0.000 4.584
Cd Ni Ag W
1 1 2 1
Direct
0.000 0.000 0.000 Cd
0.000 0.000 0.500 Ni
0.000 0.500 0.000 Ag
0.500 0.000 0.000 Ag
0.500 0.500 0.500 W
```

Results
VASP energy ... -3.59 eV per atom

***

[4]
Below is crystalline LaRu2Au at its relaxed geometry, with properties calculated at the GGA-PBEsol level.

Cell and atoms, written as POSCAR:
```
LaRu2Au
1.0
1.431 0.826 9.769
-1.431 0.826 9.769
0.000 -1.652 9.769
La Ru Au
1 2 1
Direct
0.000 0.000 0.000 La
0.242 0.242 0.242 Ru
0.758 0.758 0.758 Ru
0.500 0.500 0.500 Au
```

Results
VASP energy ... -6.72 eV per atom

***

[5]
Below is crystalline Zr5Sc4 at its relaxed geometry, with properties calculated at the GGA-PBEsol level.

Cell and atoms, written as POSCAR:
```
Zr5Sc4
1.0
-4.765 4.765 2.229
4.765 -4.765 2.229
4.765 4.765 -2.229
Zr Sc
5 4
Direct
0.000 0.000 0.000 Zr
0.335 0.335 0.670 Zr
0.335 0.665 0.000 Zr
0.665 0.335 0.000 Zr
0.665 0.665 0.330 Zr
0.000 0.326 0.326 Sc
0.000 0.674 0.674 Sc
0.326 0.000 0.326 Sc
0.674 0.000 0.674 Sc
```

Results
VASP energy ... -7.97 eV per atom

***

[6]
Below is crystalline CdHgS2 at its relaxed geometry, with properties calculated at the GGA-PBEsol level.

Cell and atoms, written as POSCAR:
```
CdHgS2
1.0
-2.925 2.925 5.856
2.925 -2.925 5.856
2.925 2.925 -5.856
Cd Hg S
2 2 4
Direct
0.000 0.000 0.000 Cd
0.750 0.250 0.500 Cd
0.250 0.750 0.500 Hg
0.500 0.500 0.000 Hg
0.122 0.625 0.997 S
0.375 0.372 0.497 S
0.628 0.125 0.003 S
0.875 0.878 0.503 S
```

Results
Formation energy without anion corrections ... -0.39 eV/atom

***

[7]
Below is crystalline MnSnF6 at its relaxed geometry, with properties calculated at the GGA-PBEsol level.

Cell and atoms, written as POSCAR:
```
MnSnF6
1.0
2.674 1.544 4.730
-2.674 1.544 4.730
0.000 -3.087 4.730
Mn Sn F
1 1 6
Direct
0.000 0.000 0.000 Mn
0.500 0.500 0.500 Sn
0.142 0.744 0.370 F
0.256 0.630 0.858 F
0.370 0.142 0.744 F
0.630 0.858 0.256 F
0.744 0.370 0.142 F
0.858 0.256 0.630 F
```

Results
Formation energy without anion corrections ... -2.43 eV/atom

***

[8]
Below is crystalline Y2ScHg at its relaxed geometry, with properties calculated at the GGA-PBEsol level.

Cell and atoms, written as POSCAR:
```
Y2ScHg
1.0
3.857 0.000 0.000
0.000 3.873 0.000
0.000 0.000 6.846
Y Sc Hg
2 1 1
Direct
0.000 0.000 0.244 Y
0.000 0.000 0.756 Y
0.500 0.500 0.500 Sc
0.500 0.500 0.000 Hg
```

Results
VASP energy ... -5.44 eV per atom

***

[9]
Below is crystalline Fe2CuW at its relaxed geometry, with properties calculated at the GGA-PBEsol level.

Cell and atoms, written as POSCAR:
```
Fe2CuW
1.0
-1.840 1.840 3.491
1.840 -1.840 3.491
1.840 1.840 -3.491
Fe Cu W
2 1 1
Direct
0.250 0.750 0.500 Fe
0.750 0.250 0.500 Fe
0.000 0.000 0.000 Cu
0.500 0.500 0.000 W
```

Results
VASP energy ... -8.87 eV per atom

***

[10]
Below is crystalline Ga3MoCl at its relaxed geometry, with properties calculated at the GGA-PBEsol level.

Cell and atoms, written as POSCAR:
```
Ga3MoCl
1.0
4.937 0.000 0.000
0.000 4.937 0.000
0.000 0.000 4.937
Ga Mo Cl
3 1 1
Direct
0.000 0.000 0.500 Ga
0.000 0.500 0.000 Ga
0.500 0.000 0.000 Ga
0.000 0.000 0.000 Mo
0.500 0.500 0.500 Cl
```

Results
Formation energy without anion corrections ... 0.46 eV/atom

***

[11]
Below is crystalline TlCrFe2 at its relaxed geometry, with properties calculated at the GGA-PBEsol level.

Cell and atoms, written as POSCAR:
```
TlCrFe2
1.0
-1.900 1.900 3.808
1.900 -1.900 3.808
1.900 1.900 -3.808
Tl Cr Fe
1 1 2
Direct
0.000 0.000 0.000 Tl
0.500 0.500 0.000 Cr
0.250 0.750 0.500 Fe
0.750 0.250 0.500 Fe
```

Results
VASP energy ... -7.15 eV per atom

***

[12]
Below is crystalline NaCrF4 at its relaxed geometry, with properties calculated at the GGA-PBEsol level.

Cell and atoms, written as POSCAR:
```
NaCrF4
1.0
5.932 0.000 0.000
0.000 4.839 0.000
-1.691 0.000 5.186
Na Cr F
2 2 8
Direct
0.000 0.000 0.000 Na
0.000 0.500 0.500 Na
0.500 0.000 0.500 Cr
0.500 0.500 0.000 Cr
0.193 0.142 0.404 F
0.193 0.358 0.904 F
0.394 0.708 0.681 F
0.394 0.792 0.181 F
0.606 0.208 0.819 F
0.606 0.292 0.319 F
0.807 0.642 0.096 F
0.807 0.858 0.596 F
```

Results
Formation energy without anion corrections ... -2.69 eV/atom

***

[13]
Below is crystalline MgAgPt2 at its relaxed geometry, with properties calculated at the GGA-PBEsol level.

Cell and atoms, written as POSCAR:
```
MgAgPt2
1.0
3.970 0.000 0.000
0.000 3.970 0.000
0.000 0.000 3.929
Mg Ag Pt
1 1 2
Direct
0.000 0.000 0.000 Mg
0.500 0.500 0.000 Ag
0.000 0.500 0.500 Pt
0.500 0.000 0.500 Pt
```

Results
VASP energy ... -5.19 eV per atom

***

[14]
Below is crystalline Cs2KBiF6 at its relaxed geometry, with properties calculated at the GGA-PBEsol level.

Cell and atoms, written as POSCAR:
```
Cs2KBiF6
1.0
0.000 4.775 4.775
4.775 0.000 4.775
4.775 4.775 0.000
Cs K Bi F
2 1 1 6
Direct
0.250 0.250 0.250 Cs
0.750 0.750 0.750 Cs
0.000 0.000 0.000 K
0.500 0.500 0.500 Bi
0.264 0.264 0.736 F
0.264 0.736 0.264 F
0.264 0.736 0.736 F
0.736 0.264 0.264 F
0.736 0.264 0.736 F
0.736 0.736 0.264 F
```

Results
Formation energy without anion corrections ... -2.69 eV/atom

***

[15]
Below is crystalline MgAlNi2 at its relaxed geometry, with properties calculated at the GGA-PBEsol level.

Cell and atoms, written as POSCAR:
```
MgAlNi2
1.0
0.000 2.941 2.941
2.941 0.000 2.941
2.941 2.941 0.000
Mg Al Ni
1 1 2
Direct
0.000 0.000 0.000 Mg
0.750 0.750 0.750 Al
0.250 0.250 0.250 Ni
0.500 0.500 0.500 Ni
```

Results
VASP energy ... -4.69 eV per atom

***

[16]
Below is crystalline YTc3Os at its relaxed geometry, with properties calculated at the GGA-PBEsol level.

Cell and atoms, written as POSCAR:
```
YTc3Os
1.0
4.526 0.000 0.000
0.000 4.526 0.000
0.000 0.000 4.526
Y Tc Os
1 3 1
Direct
0.000 0.000 0.000 Y
0.000 0.000 0.500 Tc
0.000 0.500 0.000 Tc
0.500 0.000 0.000 Tc
0.500 0.500 0.500 Os
```

Results
VASP energy ... -7.70 eV per atom

***

[17]
Below is crystalline MgMoO4 at its relaxed geometry, with properties calculated at the GGA-PBEsol level.

Cell and atoms, written as POSCAR:
```
MgMoO4
1.0
5.146 -4.635 0.000
5.146 4.635 0.000
-2.071 0.000 6.732
Mg Mo O
4 4 16
Direct
0.179 0.821 0.000 Mg
0.201 0.201 0.358 Mg
0.799 0.799 0.642 Mg
0.821 0.179 0.000 Mg
0.250 0.750 0.500 Mo
0.270 0.270 0.905 Mo
0.730 0.730 0.095 Mo
0.750 0.250 0.500 Mo
0.111 0.805 0.696 O
0.140 0.140 0.039 O
0.195 0.889 0.304 O
0.200 0.200 0.646 O
0.210 0.521 0.973 O
0.215 0.503 0.391 O
0.479 0.790 0.027 O
0.497 0.785 0.609 O
0.503 0.215 0.391 O
0.521 0.210 0.973 O
0.785 0.497 0.609 O
0.790 0.479 0.027 O
0.800 0.800 0.354 O
0.805 0.111 0.696 O
0.860 0.860 0.961 O
0.889 0.195 0.304 O
```

Results
Formation energy without anion corrections ... -2.31 eV/atom

***

[18]
Below is crystalline NiP at its relaxed geometry, with properties calculated at the GGA-PBEsol level.

Cell and atoms, written as POSCAR:
```
NiP
1.0
4.790 0.000 0.000
0.000 6.878 0.000
0.000 0.000 5.938
Ni P
8 8
Direct
0.014 0.100 0.194 Ni
0.014 0.400 0.694 Ni
0.486 0.600 0.194 Ni
0.486 0.900 0.694 Ni
0.514 0.100 0.306 Ni
0.514 0.400 0.806 Ni
0.986 0.600 0.306 Ni
0.986 0.900 0.806 Ni
0.175 0.117 0.560 P
0.175 0.383 0.060 P
0.325 0.617 0.560 P
0.325 0.883 0.060 P
0.675 0.117 0.940 P
0.675 0.383 0.440 P
0.825 0.617 0.940 P
0.825 0.883 0.440 P
```

Results
VASP energy ... -6.49 eV per atom

***

[19]
Below is crystalline TlSeS2N at its relaxed geometry, with properties calculated at the GGA-PBEsol level.

Cell and atoms, written as POSCAR:
```
TlSeS2N
1.0
4.963 0.000 0.000
0.000 4.963 0.000
0.000 0.000 3.744
Tl Se S N
1 1 2 1
Direct
0.000 0.000 0.000 Tl
0.500 0.500 0.500 Se
0.000 0.500 0.500 S
0.500 0.000 0.500 S
0.500 0.500 0.000 N
```

Results
Formation energy without anion corrections ... 0.75 eV/atom

***

[20]
Below is crystalline ScNbFeTc2 at its relaxed geometry, with properties calculated at the GGA-PBEsol level.

Cell and atoms, written as POSCAR:
```
ScNbFeTc2
1.0
4.493 0.000 0.000
0.000 4.493 0.000
0.000 0.000 4.128
Sc Nb Fe Tc
1 1 1 2
Direct
0.000 0.000 0.000 Sc
0.500 0.500 0.500 Nb
0.000 0.000 0.500 Fe
0.000 0.500 0.000 Tc
0.500 0.000 0.000 Tc
```

Results
VASP energy ... -8.26 eV per atom

***

Quick rundown of magnetic moment, same order as above: 2.993 1.574 3.746 0.049 0.000 0.000 5.000 0.001 2.225 1.573 0.808 3.000 0.000 0.001 0.000 0.000 0.000 0.000 0.723 1.222 μB/f.u.